BaAg2GeAu4 | PBE-GGA | relaxed

abc: 4.7470 4.7470 9.7326
angles: 75.88 75.88 60.00
Last column: nearest neighbours and their distance in Å.
Positions (direct):
Ag 0.7621 0.7621 0.7137  7 Au 2.82-3.01
Ag 0.2379 0.2379 0.2863  7 Au 2.82-3.01
Au 0.5946 0.5946 0.2161  1 Ge 2.65, 3 Ag 2.82
Au 0.1306 0.1306 0.6082  4 Ag 2.91-3.01, 3 Ge 2.92, 3 Au 3.19
Au 0.4054 0.4054 0.7839  1 Ge 2.65, 3 Ag 2.82
Au 0.8694 0.8694 0.3918  4 Ag 2.91-3.01, 3 Ge 2.92, 3 Au 3.19
Ge 0.5000 0.5000 0.5000  8 Au 2.65-2.92
Ba 0.0000 0.0000 0.0000  8 Au 3.40-3.66

Energy relative to the elements ... -0.173 eV/atom
Total energy ... -26.7 eV/f.u.



TcSnP | PBE-GGA | relaxed

abc: 5.6708 3.1836 12.2316
angles: 90.00 97.11 90.00
Last column: nearest neighbours and their distance in Å.
Positions (direct):
P 0.1861 0.5000 0.7493  3 Tc 2.30-2.36
P 0.0351 0.0000 0.5194  4 Tc 2.34-2.52
P 0.0351 0.5000 0.0194  4 Tc 2.34-2.52
P 0.1861 0.0000 0.2493  3 Tc 2.30-2.36
Sn 0.5489 0.0000 0.8996  3 Tc 2.68-3.00
Sn 0.7111 0.5000 0.1575  1 P 2.64, 3 Tc 2.77-2.83
Sn 0.7111 0.0000 0.6575  1 P 2.64, 3 Tc 2.77-2.83
Sn 0.5489 0.5000 0.3996  3 Tc 2.68-3.00
Tc 0.3253 0.0000 0.0806  3 P 2.30-2.34
Tc 0.0170 0.5000 0.3585  4 P 2.36-2.52
Tc 0.3253 0.5000 0.5806  3 P 2.30-2.34
Tc 0.0170 0.0000 0.8585  4 P 2.36-2.52

Energy relative to the elements ... -0.220 eV/atom
Total energy ... -20.4 eV/f.u.



Dy2YRh4 | PBE-GGA | relaxed

abc: 4.8628 4.8628 7.0421
angles: 110.20 110.20 90.00
Last column: nearest neighbours and their distance in Å.
Positions (direct):
Rh 0.3776 0.8776 0.7551  2 Dy 2.72, 2 Y 2.86, 1 Rh 3.01
Rh 0.8776 0.3776 0.7551  2 Dy 2.72, 2 Y 2.86, 1 Rh 3.01
Rh 0.1224 0.6224 0.2449  2 Dy 2.72, 2 Y 2.86, 1 Rh 3.01
Rh 0.6224 0.1224 0.2449  2 Dy 2.72, 2 Y 2.86, 1 Rh 3.01
Dy 0.2779 0.2779 0.5557  4 Rh 2.72
Dy 0.7221 0.7221 0.4443  4 Rh 2.72
Y 0.0000 0.0000 0.0000  8 Rh 2.86

Energy relative to the elements ... -0.517 eV/atom
Total energy ... -48.7 eV/f.u.



Cr2HgIr | PBE-GGA | relaxed

abc: 2.7534 2.7534 8.8425
angles: 90.00 90.00 115.76
Last column: nearest neighbours and their distance in Å.
Positions (direct):
Cr 0.5000 0.5000 0.2081  2 Cr 2.22
Cr 0.0000 0.0000 0.0189  2 Cr 2.22
Ir 0.5000 0.5000 0.7833  2 Cr 2.55, 4 Ir 2.75
Hg 0.0000 0.0000 0.4897  6 Hg 2.75-2.93, 2 Cr 2.89, 2 Ir 2.98

Energy relative to the elements ... 0.417 eV/atom
Total energy ... -26.7 eV/f.u.



Tm4Rh2Pb | PBE-GGA | relaxed

abc: 4.5800 4.5800 10.1934
angles: 77.02 77.02 60.00
Last column: nearest neighbours and their distance in Å.
Positions (direct):
Tm 0.7989 0.7989 0.6033  4 Rh 2.81-2.97
Tm 0.6119 0.6119 0.1642  3 Rh 2.97, 3 Pb 3.10
Tm 0.3881 0.3881 0.8358  3 Rh 2.97, 3 Pb 3.10
Tm 0.2011 0.2011 0.3967  4 Rh 2.81-2.97
Pb 0.0000 0.0000 0.0000  2 Rh 2.97, 6 Tm 3.10
Rh 0.8996 0.8996 0.3012  7 Tm 2.81-2.97, 1 Pb 2.97
Rh 0.1004 0.1004 0.6988  7 Tm 2.81-2.97, 1 Pb 2.97

Energy relative to the elements ... -0.601 eV/atom
Total energy ... -40.5 eV/f.u.



Ce3ZnRh3 | PBE-GGA | relaxed

abc: 4.4167 5.4238 13.3977
angles: 90.00 90.00 114.03
Last column: nearest neighbours and their distance in Å.
Positions (direct):
Zn 0.5000 0.0000 0.5000  4 Rh 2.65
Zn 0.5000 0.0000 0.0000  4 Rh 2.65
Rh 0.9075 0.8150 0.9147  2 Zn 2.65, 2 Ce 2.75-2.87, 2 Rh 2.84-2.93
Rh 0.7266 0.4532 0.7500  1 Ce 2.60, 2 Rh 2.84
Rh 0.2734 0.5468 0.2500  1 Ce 2.60, 2 Rh 2.84
Rh 0.0925 0.1850 0.0853  2 Zn 2.65, 2 Ce 2.75-2.87, 2 Rh 2.84-2.93
Rh 0.9075 0.8150 0.5853  2 Zn 2.65, 2 Ce 2.75-2.87, 2 Rh 2.84-2.93
Rh 0.0925 0.1850 0.4147  2 Zn 2.65, 2 Ce 2.75-2.87, 2 Rh 2.84-2.93
Ce 0.5363 0.0725 0.2500  1 Rh 2.60
Ce 0.8039 0.6078 0.1050  6 Rh 2.75-3.06
Ce 0.8039 0.6078 0.3950  6 Rh 2.75-3.06
Ce 0.1961 0.3922 0.6050  6 Rh 2.75-3.06
Ce 0.1961 0.3922 0.8950  6 Rh 2.75-3.06
Ce 0.4637 0.9275 0.7500  1 Rh 2.60

Energy relative to the elements ... -0.684 eV/atom
Total energy ... -45.9 eV/f.u.



YBr2 | PBE-GGA | relaxed

abc: 5.9778 5.9778 5.9778
angles: 108.35 108.35 111.73
Last column: nearest neighbours and their distance in Å.
Positions (direct):
Br 0.3187 0.8187 0.1374  4 Y 3.07
Br 0.1813 0.3187 0.5000  4 Y 3.07
Br 0.6813 0.1813 0.8626  4 Y 3.07
Br 0.8187 0.6813 0.5000  4 Y 3.07
Y 0.2500 0.2500 0.0000  8 Br 3.07, 2 Y 3.35
Y 0.7500 0.7500 0.0000  8 Br 3.07, 2 Y 3.35

ΔE_f (raw) ... -1453 meV/atom
Total energy ... -14.2 eV/f.u.



AcCeGa | PBE-GGA | relaxed

abc: 5.3601 5.3601 7.1929
angles: 90.00 90.00 120.00
Last column: nearest neighbours and their distance in Å.
Positions (direct):
Ce 0.3333 0.6667 0.7500  3 Ga 3.09
Ce 0.6667 0.3333 0.2500  3 Ga 3.09
Ac 0.0000 0.0000 0.0000  6 Ce 3.58, 6 Ga 3.58, 2 Ac 3.60
Ac 0.0000 0.0000 0.5000  6 Ce 3.58, 6 Ga 3.58, 2 Ac 3.60
Ga 0.3333 0.6667 0.2500  3 Ce 3.09
Ga 0.6667 0.3333 0.7500  3 Ce 3.09

Energy relative to the elements ... -0.198 eV/atom
Total energy ... -13.7 eV/f.u.



> Which value of total energy does entry 8 give?

-13.7 eV/f.u.